# LiSnO3

LiSnO3 after structural relaxation (GGA-PBEsol, the Alexandria database).

Cell: 4.0288 4.0288 4.0288 Å, 90.00 90.00 90.00°
Element x y z (fractional)
Li (0.0000, 0.0000, 0.0000)
Sn (0.5000, 0.5000, 0.5000)
O (0.0000, 0.5000, 0.5000)
O (0.5000, 0.0000, 0.5000)
O (0.5000, 0.5000, 0.0000)

## Properties
Theoretical density, kg/m3: 4409
Total magnetic moment, Bohr magnetons per cell: 0.938
Energy, eV for the cell shown: -27.81
V, Å³ per atom: 13.079
E_form (uncorrected), meV/atom: -1167